Entry from Alexandria: Sc4Ru2Rh after structural relaxation (GGA-PBE).

abc: 5.546 5.546 5.546
angles: 109.28 109.57 109.57
Sites, in units of the cell vectors:
Ru 0.500 0.500 0.000
Sc 0.000 0.000 0.500
Rh 0.000 0.000 0.000
Sc 0.000 0.500 0.000
Ru 0.500 0.000 0.500
Sc 0.500 0.000 0.000
Sc 0.500 0.500 0.500

Results
D(E_F): 0.51 states/eV per atom
calculated total energy: -55.444 eV/cell
space group: I4/mmm (139)
ΔH_f (0 K): -0.602 eV per atom
density: 6.13 g cm⁻³

=====

Entry from Alexandria: KHg3S after structural relaxation (GGA-PBE).

abc: 5.565 5.565 5.565
angles: 90.00 90.00 90.00
Sites, in units of the cell vectors:
S 0.000 0.000 0.000
Hg 0.500 0.000 0.000
K 0.500 0.500 0.500
Hg 0.000 0.500 0.000
Hg 0.000 0.000 0.500

Results
D(E_F): 0.77 states/eV per atom
calculated total energy: -5.810 eV/cell
space group: Pm-3m (221)
formation energy without anion corrections: 64 meV/atom
density: 6.48 g cm⁻³

=====

Entry from Alexandria: Sr2VAuS after structural relaxation (GGA-PBE).

abc: 6.029 4.408 6.029
angles: 90.00 90.00 90.00
Sites, in units of the cell vectors:
V 0.000 0.000 0.000
Au 0.500 0.500 0.500
S 0.000 0.500 0.000
Sr 0.000 0.000 0.500
Sr 0.500 0.000 0.000

Results
D(E_F): 0.84 states/eV per atom
calculated total energy: -20.784 eV/cell
space group: P4/mmm (123)
formation energy without anion corrections: -179 meV/atom
density: 4.72 g cm⁻³

=====

Entry from Alexandria: GdNi12B6 after structural relaxation (GGA-PBE).

abc: 6.022 6.022 6.022
angles: 104.48 104.48 104.48
Sites, in units of the cell vectors:
Gd 0.000 0.000 0.000
Ni 0.187 0.454 0.454
B 0.669 0.235 0.235
B 0.765 0.331 0.765
B 0.331 0.765 0.765
Ni 0.869 0.500 0.131
Ni 0.131 0.500 0.869
Ni 0.813 0.546 0.546
Ni 0.131 0.869 0.500
Ni 0.500 0.131 0.869
Ni 0.500 0.869 0.131
B 0.765 0.765 0.331
B 0.235 0.235 0.669
Ni 0.546 0.813 0.546
B 0.235 0.669 0.235
Ni 0.454 0.187 0.454
Ni 0.869 0.131 0.500
Ni 0.454 0.454 0.187
Ni 0.546 0.546 0.813

Results
D(E_F): 0.41 states/eV per atom
calculated total energy: -130.999 eV/cell
space group: R-3m (166)
ΔH_f (0 K): -0.394 eV per atom
density: 7.97 g cm⁻³

=====

Entry from Alexandria: TlInH after structural relaxation (GGA-PBE).

abc: 3.484 3.358 14.478
angles: 88.39 80.65 61.87
Sites, in units of the cell vectors:
H 0.776 0.271 0.243
In 0.762 0.676 0.627
Tl 0.266 0.949 0.435
Tl 0.502 0.764 0.998
In 0.002 0.041 0.805
H 0.830 0.251 0.191

Results
D(E_F): 0.28 states/eV per atom
calculated total energy: -16.687 eV/cell
space group: P1 (1)
density: 7.23 g cm⁻³

=====

Entry from Alexandria: Er6Bi2C after structural relaxation (GGA-PBE).

abc: 6.440 7.837 9.740
angles: 90.00 92.22 90.00
Sites, in units of the cell vectors:
Er 0.891 0.976 0.255
Bi 0.581 0.895 0.759
Bi 0.081 0.605 0.259
Er 0.326 0.838 0.462
Bi 0.419 0.105 0.241
Er 0.174 0.338 0.038
Er 0.674 0.162 0.538
Er 0.826 0.662 0.962
Er 0.391 0.524 0.755
Er 0.361 0.784 0.042
C 0.000 0.000 0.500
Er 0.109 0.024 0.745
Er 0.139 0.284 0.458
Er 0.639 0.216 0.958
Er 0.861 0.716 0.542
C 0.500 0.500 0.000
Bi 0.919 0.395 0.741
Er 0.609 0.476 0.245

Results
D(E_F): 1.01 states/eV per atom
calculated total energy: -96.560 eV/cell
space group: P2_1/c (14)
ΔH_f (0 K): -0.435 eV per atom
density: 9.69 g cm⁻³

=====

Entry from Alexandria: LaNd2B9 after structural relaxation (GGA-PBE).

abc: 4.492 4.492 10.283
angles: 77.38 77.38 60.00
Sites, in units of the cell vectors:
Nd 0.882 0.882 0.354
B 0.391 0.391 0.190
B 0.601 0.601 0.197
B 0.399 0.399 0.803
B 0.391 0.029 0.190
Nd 0.118 0.118 0.646
La 0.000 0.000 0.000
B 0.029 0.391 0.190
B 0.609 0.609 0.810
B 0.500 0.500 0.500
B 0.609 0.971 0.810
B 0.971 0.609 0.810

Results
D(E_F): 0.55 states/eV per atom
calculated total energy: -76.265 eV/cell
space group: R-3m (166)
ΔH_f (0 K): -0.142 eV per atom
density: 5.01 g cm⁻³

=====

Entry from Alexandria: Be2TeCl after structural relaxation (GGA-PBE).

abc: 3.380 3.645 5.912
angles: 90.01 90.00 90.00
Sites, in units of the cell vectors:
Te 0.500 0.750 0.750
Be 0.000 0.249 0.938
Cl 0.500 0.250 0.250
Be 0.000 0.251 0.562

Results
D(E_F): 0.21 states/eV per atom
calculated total energy: -11.781 eV/cell
space group: Pmmm (47)
formation energy without anion corrections: 165 meV/atom
density: 4.13 g cm⁻³

=====

Entry from Alexandria: Pr8Si3Br4Cl after structural relaxation (GGA-PBE).

abc: 8.561 8.845 8.562
angles: 118.96 119.99 90.00
Sites, in units of the cell vectors:
Cl 0.000 0.500 0.000
Pr 0.262 0.288 0.525
Pr 0.738 0.712 0.475
Si 0.000 0.500 0.500
Si 0.500 0.500 0.500
Pr 0.244 0.711 0.966
Br 0.000 0.000 0.000
Si 0.500 0.500 0.000
Pr 0.244 0.711 0.488
Pr 0.756 0.289 0.034
Br 0.500 0.000 0.500
Pr 0.756 0.289 0.512
Br 0.500 0.000 0.000
Br 0.000 0.000 0.500
Pr 0.277 0.289 0.034
Pr 0.723 0.711 0.966

Results
D(E_F): 0.42 states/eV per atom
calculated total energy: -81.464 eV/cell
space group: R-3m (166)
formation energy without anion corrections: -1151 meV/atom
density: 5.59 g cm⁻³

=====

Entry from Alexandria: TaNbFe2H after structural relaxation (GGA-PBE).

abc: 3.888 3.888 3.931
angles: 90.00 90.00 90.00
Sites, in units of the cell vectors:
Ta 0.500 0.500 0.500
H 0.000 0.000 0.000
Nb 0.000 0.000 0.500
Fe 0.500 0.000 0.000
Fe 0.000 0.500 0.000

Results
D(E_F): 1.16 states/eV per atom
calculated total energy: -41.869 eV/cell
space group: P4/mmm (123)
density: 10.80 g cm⁻³

=====

Entry from Alexandria: MnCrFe3 after structural relaxation (GGA-PBE).

abc: 4.981 6.108 7.481
angles: 105.88 90.00 90.00
Sites, in units of the cell vectors:
Fe 0.875 0.346 0.550
Fe 0.126 0.449 0.848
Fe 0.623 0.250 0.250
Mn 0.869 0.955 0.349
Mn 0.369 0.545 0.151
Cr 0.628 0.650 0.456
Mn 0.631 0.455 0.849
Fe 0.375 0.154 0.950
Fe 0.877 0.750 0.750
Cr 0.372 0.350 0.544
Fe 0.874 0.551 0.152
Mn 0.131 0.045 0.651
Fe 0.626 0.051 0.652
Fe 0.123 0.250 0.250
Fe 0.374 0.949 0.348
Fe 0.377 0.750 0.750
Cr 0.128 0.850 0.044
Cr 0.872 0.150 0.956
Fe 0.625 0.846 0.050
Fe 0.125 0.654 0.450

Results
D(E_F): 1.25 states/eV per atom
calculated total energy: -174.711 eV/cell
space group: P2_1/c (14)
ΔH_f (0 K): 0.101 eV per atom
density: 8.33 g cm⁻³

=====

Entry from Alexandria: BaTiNi2 after structural relaxation (GGA-PBE).

abc: 5.031 5.031 8.527
angles: 72.84 72.84 90.00
Sites, in units of the cell vectors:
Ba 0.750 0.250 0.500
Ni 0.875 0.625 0.750
Ni 0.375 0.625 0.750
Ni 0.375 0.125 0.250
Ba 0.000 0.000 0.000
Ni 0.375 0.625 0.250
Ti 0.500 0.500 0.000
Ti 0.250 0.750 0.500

Results
D(E_F): 0.72 states/eV per atom
calculated total energy: -40.446 eV/cell
space group: I4_1/amd (141)
ΔH_f (0 K): 0.289 eV per atom
density: 5.12 g cm⁻³